(w)
A relaxed structure of Ti3MnSe. Source: the Alexandria database, functional PBE.

The structure in CIF format:
```
data_Ti3MnSe
_chemical_formula_sum 'Ti3 Mn1 Se1'
_cell_length_a 4.494
_cell_length_b 4.494
_cell_length_c 4.494
_cell_angle_alpha 90.00
_cell_angle_beta 90.00
_cell_angle_gamma 90.00
_space_group_name_H-M_alt 'P m -3 m'
_space_group_IT_number 221
_space_group_name_Hall '-P 4 2 3'
loop_
_atom_site_label
_atom_site_type_symbol
_atom_site_fract_x
_atom_site_fract_y
_atom_site_fract_z
Ti1 Ti 0.000 0.000 0.500
Mn1 Mn 0.000 0.000 0.000
Se1 Se 0.500 0.500 0.500
```

Values from the calculation:
Fermi-level density of states   1.202 states/eV per atom
Total magnetization   0.000 Bohr magnetons per cell

---

(x)
A relaxed structure of Ti3MnSe. Source: the Alexandria database, functional PBE.

The structure in CIF format:
```
data_Ti3MnSe
_chemical_formula_sum 'Ti3 Mn1 Se1'
_cell_length_a 4.594
_cell_length_b 4.594
_cell_length_c 4.594
_cell_angle_alpha 90.00
_cell_angle_beta 90.00
_cell_angle_gamma 90.00
_space_group_name_H-M_alt 'P m -3 m'
_space_group_IT_number 221
_space_group_name_Hall '-P 4 2 3'
loop_
_atom_site_label
_atom_site_type_symbol
_atom_site_fract_x
_atom_site_fract_y
_atom_site_fract_z
Ti1 Ti 0.000 0.000 0.500
Mn1 Mn 0.500 0.500 0.500
Se1 Se 0.000 0.000 0.000
```

Values from the calculation:
Fermi-level density of states   1.063 states/eV per atom
Total magnetization   0.187 Bohr magnetons per cell

---

Stability order, top to bottom: (w), (x)